Compound: Pu2Ga4CuPd3
Source: Alexandria via LeMat-Bulk
Functional: PBE-GGA
Structure: relaxed

It has space group P-4m2 (No. 115), with a = 4.173 Å, b = 4.173 Å, c = 10.851 Å, α = 90.00°, β = 90.00° and γ = 90.00°. Symmetry generates all atoms from Pu at (0.000, 0.500, 0.248), Ga at (0.000, 0.000, 0.500), Ga at (0.000, 0.500, 0.871), Ga at (0.500, 0.500, 0.500), Cu at (0.500, 0.500, 0.000), Pd at (0.000, 0.000, 0.000) and Pd at (0.000, 0.500, 0.639).

As for the formation energy: -4.9 eV per formula unit. The value obtained for the calculated density is 10.10 g cm⁻³. The raw total energy is -6.5346 eV/atom. The total magnetization comes out at 1.12 μB per atom.



Compound: PuGa3CuPd
Source: Alexandria via LeMat-Bulk
Functional: PBE-GGA
Structure: relaxed

It has space group Cmcm (No. 63), with a = 5.844 Å, b = 13.474 Å, c = 5.613 Å, α = 90.00°, β = 90.00° and γ = 90.00°. Symmetry generates all atoms from Pu at (0.000, 0.195, 0.250), Ga at (0.000, 0.353, 0.750), Ga at (0.218, 0.000, 0.000), Cu at (0.000, 0.145, 0.750) and Pd at (0.000, 0.398, 0.250).

As for the formation energy: -1.2 eV per formula unit. The value obtained for the calculated density is 9.37 g cm⁻³. The raw total energy is -5.6472 eV/atom. The total magnetization comes out at 0.95 μB per atom.



Compound: GaCuPdRh
Source: Alexandria via LeMat-Bulk
Functional: PBE-GGA
Structure: relaxed

It has space group F-43m (No. 216), with a = 6.048 Å, b = 6.048 Å, c = 6.048 Å, α = 90.00°, β = 90.00° and γ = 90.00°. Symmetry generates all atoms from Ga at (0.000, 0.000, 0.000), Cu at (0.000, 0.000, 0.500), Pd at (0.250, 0.250, 0.750) and Rh at (0.250, 0.250, 0.250).

As for the formation energy: -1.9 eV per formula unit. The value obtained for the calculated density is 10.28 g cm⁻³. The raw total energy is -5.3806 eV/atom. The total magnetization comes out at 0.00 μB per atom.



Compound: GaCuPdRu
Source: Alexandria via LeMat-Bulk
Functional: PBE-GGA
Structure: relaxed

It has space group F-43m (No. 216), with a = 6.049 Å, b = 6.049 Å, c = 6.049 Å, α = 90.00°, β = 90.00° and γ = 90.00°. Symmetry generates all atoms from Ga at (0.000, 0.000, 0.000), Cu at (0.000, 0.000, 0.500), Pd at (0.250, 0.250, 0.750) and Ru at (0.250, 0.250, 0.250).

As for the formation energy: -0.8 eV per formula unit. The value obtained for the calculated density is 10.23 g cm⁻³. The raw total energy is -5.5912 eV/atom. The total magnetization comes out at 0.00 μB per atom.



Compound: ScGaCuPd
Source: Alexandria via LeMat-Bulk
Functional: PBE-GGA
Structure: relaxed

It has space group F-43m (No. 216), with a = 6.320 Å, b = 6.320 Å, c = 6.320 Å, α = 90.00°, β = 90.00° and γ = 90.00°. Symmetry generates all atoms from Sc at (0.000, 0.000, 0.000), Ga at (0.000, 0.000, 0.500), Cu at (0.250, 0.250, 0.750) and Pd at (0.250, 0.250, 0.250).

As for the formation energy: -2.4 eV per formula unit. The value obtained for the calculated density is 7.49 g cm⁻³. The raw total energy is -5.2596 eV/atom. The total magnetization comes out at 0.00 μB per atom.



Compound: GaCu2PdSe
Source: Alexandria via LeMat-Bulk
Functional: PBE-GGA
Structure: relaxed

It has space group P4/mmm (No. 123), with a = 4.761 Å, b = 4.761 Å, c = 4.650 Å, α = 90.00°, β = 90.00° and γ = 90.00°. Symmetry generates all atoms from Ga at (0.000, 0.000, 0.000), Cu at (0.000, 0.500, 0.500), Pd at (0.000, 0.000, 0.500) and Se at (0.500, 0.500, 0.000).

For the uncorrected formation energy, the calculation gives 0.47 eV per atom. The value obtained for the calculated density is 6.02 g cm⁻³. The raw total energy is -3.5060 eV/atom. The total magnetization comes out at 0.00 μB per atom.



Compound: GaCu2PdSe4
Source: Alexandria via LeMat-Bulk
Functional: PBE-GGA
Structure: relaxed

It has space group Fmm2 (No. 42), with a = 8.036 Å, b = 8.044 Å, c = 11.077 Å, α = 90.00°, β = 90.00° and γ = 90.00°. Symmetry generates all atoms from Ga at (0.000, 0.000, 0.000), Cu at (0.250, 0.250, 0.250), Pd at (0.000, 0.000, 0.500), Se at (0.000, 0.248, 0.869) and Se at (0.248, 0.000, 0.131).

For the uncorrected formation energy, the calculation gives -0.28 eV per atom. The value obtained for the calculated density is 5.74 g cm⁻³. The raw total energy is -4.0768 eV/atom. The total magnetization comes out at 0.00 μB per atom.



Compound: Ga2CuSiPd
Source: Alexandria via LeMat-Bulk
Functional: PBE-GGA
Structure: relaxed

It has space group P4/mmm (No. 123), with a = 4.585 Å, b = 4.585 Å, c = 4.435 Å, α = 90.00°, β = 90.00° and γ = 90.00°. Symmetry generates all atoms from Ga at (0.000, 0.500, 0.000), Cu at (0.000, 0.000, 0.000), Si at (0.000, 0.000, 0.500) and Pd at (0.500, 0.500, 0.500).

For the uncorrected formation energy, the calculation gives 0.39 eV per atom. The value obtained for the calculated density is 6.01 g cm⁻³. The raw total energy is -3.7663 eV/atom. The total magnetization comes out at 0.00 μB per atom.



Compound: Sm2Ga4CuPd3
Source: Alexandria via LeMat-Bulk
Functional: PBE-GGA
Structure: relaxed

It has space group P-4m2 (No. 115), with a = 4.381 Å, b = 4.381 Å, c = 9.904 Å, α = 90.00°, β = 90.00° and γ = 90.00°. Symmetry generates all atoms from Sm at (0.000, 0.500, 0.248), Ga at (0.000, 0.000, 0.500), Ga at (0.000, 0.500, 0.879), Ga at (0.500, 0.500, 0.500), Cu at (0.500, 0.500, 0.000), Pd at (0.000, 0.000, 0.000) and Pd at (0.000, 0.500, 0.631).

As for the formation energy: -7.0 eV per formula unit. The value obtained for the calculated density is 8.41 g cm⁻³. The raw total energy is -4.8263 eV/atom. The total magnetization comes out at 0.00 μB per atom.



Compound: Sm2Ga4Cu3Pd
Source: Alexandria via LeMat-Bulk
Functional: PBE-GGA
Structure: relaxed

It has space group P-4m2 (No. 115), with a = 4.197 Å, b = 4.197 Å, c = 10.273 Å, α = 90.00°, β = 90.00° and γ = 90.00°. Symmetry generates all atoms from Sm at (0.000, 0.500, 0.247), Ga at (0.000, 0.000, 0.000), Ga at (0.000, 0.500, 0.634), Ga at (0.500, 0.500, 0.000), Cu at (0.000, 0.500, 0.869), Cu at (0.500, 0.500, 0.500) and Pd at (0.000, 0.000, 0.500).

As for the formation energy: -5.3 eV per formula unit. The value obtained for the calculated density is 8.05 g cm⁻³. The raw total energy is -4.4303 eV/atom. The total magnetization comes out at 0.00 μB per atom.



Compound: SmGa2Cu2Pd
Source: Alexandria via LeMat-Bulk
Functional: PBE-GGA
Structure: relaxed

It has space group P4/mmm (No. 123), with a = 4.728 Å, b = 4.728 Å, c = 5.446 Å, α = 90.00°, β = 90.00° and γ = 90.00°. Symmetry generates all atoms from Sm at (0.000, 0.000, 0.000), Ga at (0.000, 0.500, 0.500), Cu at (0.500, 0.500, 0.230) and Pd at (0.000, 0.000, 0.500).

As for the formation energy: -0.5 eV per formula unit. The value obtained for the calculated density is 7.14 g cm⁻³. The raw total energy is -4.1164 eV/atom. The total magnetization comes out at 0.00 μB per atom.



Compound: SmGa4CuPd2
Source: Alexandria via LeMat-Bulk
Functional: PBE-GGA
Structure: relaxed

It has space group R-3m (No. 166, hexagonal axes), with a = 4.2932 Å, b = 4.2932 Å, c = 26.1350 Å, α = 90.00°, β = 90.00° and γ = 120.00°. Symmetry generates all atoms from Sm at (0.0000, 0.0000, 0.0000), Ga at (0.0000, 0.0000, 0.1313), Ga at (0.0000, 0.0000, 0.3996), Cu at (0.0000, 0.0000, 0.5000) and Pd at (0.0000, 0.0000, 0.2374).

As for the formation energy: -4.3 eV per formula unit. The value obtained for the calculated density is 8.43 g cm⁻³. The raw total energy is -4.4487 eV/atom. The total magnetization comes out at 0.00 μB per atom.



What did the second record say?
Compound: PuGa3CuPd
Source: Alexandria via LeMat-Bulk
Functional: PBE-GGA
Structure: relaxed

It has space group Cmcm (No. 63), with a = 5.844 Å, b = 13.474 Å, c = 5.613 Å, α = 90.00°, β = 90.00° and γ = 90.00°. Symmetry generates all atoms from Pu at (0.000, 0.195, 0.250), Ga at (0.000, 0.353, 0.750), Ga at (0.218, 0.000, 0.000), Cu at (0.000, 0.145, 0.750) and Pd at (0.000, 0.398, 0.250).

As for the formation energy: -1.2 eV per formula unit. The value obtained for the calculated density is 9.37 g cm⁻³. The raw total energy is -5.6472 eV/atom. The total magnetization comes out at 0.95 μB per atom.



Among the records above, which one has the lowest calculated density?
GaCu2PdSe4



Among the records above, which one has the lowest raw total energy?
Pu2Ga4CuPd3



Among the records above, which one has the highest calculated density?
GaCuPdRh